RbIn12Ag6 GGA-PBE optimized geometry; space-group type = R-3m (166); ΔE_f = 0.00 eV/atom; electronic total energy = -51.0 eV/f.u.
1.0
6.5501 3.7817 3.2961
-6.5501 3.7817 3.2961
0.0000 -7.5634 3.2961
Rb In Ag
1 12 6
Direct
0.0000 0.0000 0.0000
0.1173 0.5000 0.8827
0.1173 0.8827 0.5000
0.1563 0.4096 0.4096
0.4096 0.1563 0.4096
0.4096 0.4096 0.1563
0.5000 0.1173 0.8827
0.5000 0.8827 0.1173
0.5904 0.5904 0.8437
0.5904 0.8437 0.5904
0.8437 0.5904 0.5904
0.8827 0.1173 0.5000
0.8827 0.5000 0.1173
0.2720 0.2720 0.7088
0.2720 0.7088 0.2720
0.2912 0.7280 0.7280
0.7088 0.2720 0.2720
0.7280 0.2912 0.7280
0.7280 0.7280 0.2912